(1)
Below is a relaxed TcAgSn2S crystal, with properties calculated at the GGA-PBE level.

Structure (POSCAR):
```
TcAgSn2S
1.0
5.371 0.000 0.000
0.000 5.371 0.000
0.000 0.000 4.683
Tc Ag Sn S
1 1 2 1
Direct
0.000 0.000 0.000
0.500 0.500 0.500
0.000 0.500 0.500
0.500 0.000 0.500
0.500 0.500 0.000
```

Calculated values
Magnetic moment   3.81 μB/f.u.
Formation energy (no corrections)   1148 meV per atom

***

(2)
Below is a relaxed Ag2SnTe2S crystal, with properties calculated at the GGA-PBE level.

Structure (POSCAR):
```
Ag2SnTe2S
1.0
6.767 -3.809 0.000
6.767 3.809 0.000
0.000 0.000 7.193
Ag Sn Te S
4 2 4 2
Direct
0.029 0.674 0.500
0.326 0.971 0.500
0.674 0.029 0.000
0.971 0.326 0.000
0.343 0.657 0.005
0.657 0.343 0.505
0.005 0.659 0.885
0.341 0.995 0.885
0.659 0.005 0.385
0.995 0.341 0.385
0.349 0.651 0.367
0.651 0.349 0.867
```

Calculated values
Magnetic moment   0.00 μB/f.u.
Formation energy (no corrections)   -146 meV per atom